# Tl2FeSb2, relaxed, DFT GGA-PBE
data_Tl2FeSb2
_space_group_name_H-M_alt 'P 4/m b m'
_space_group_IT_number 127
_space_group_name_Hall '-P 4 2ab'
_cell_length_a 6.745
_cell_length_b 6.745
_cell_length_c 6.037
_cell_angle_alpha 90.00
_cell_angle_beta 90.00
_cell_angle_gamma 90.00
loop_
_atom_site_label
_atom_site_type_symbol
_atom_site_fract_x
_atom_site_fract_y
_atom_site_fract_z
Tl1 Tl 0.180 0.320 0.000
Fe1 Fe 0.000 0.000 0.500
Sb1 Sb 0.153 0.653 0.500
# Calculated volume: 274.6 Å³/cell
# Magnetization: 2.11 μB per formula unit
# Formation energy without anion corrections: 0.181 eV per atom
# N(E_F): 6.33 states/eV/f.u.
# Total energy: -20.5 eV per formula unit

=====

# TlFeSb2, relaxed, DFT GGA-PBE
data_TlFeSb2
_space_group_name_H-M_alt 'F m -3 m'
_space_group_IT_number 225
_space_group_name_Hall '-F 4 2 3'
_cell_length_a 7.089
_cell_length_b 7.089
_cell_length_c 7.089
_cell_angle_alpha 90.00
_cell_angle_beta 90.00
_cell_angle_gamma 90.00
loop_
_atom_site_label
_atom_site_type_symbol
_atom_site_fract_x
_atom_site_fract_y
_atom_site_fract_z
Tl1 Tl 0.000 0.000 0.000
Fe1 Fe 0.000 0.000 0.500
Sb1 Sb 0.250 0.250 0.250
# Calculated volume: 356.2 Å³/cell
# Magnetization: 0.00 μB per formula unit
# Formation energy without anion corrections: 0.703 eV per atom
# N(E_F): 5.72 states/eV/f.u.
# Total energy: -16.3 eV per formula unit

=====

# TlFeSb2, relaxed, DFT GGA-PBE
data_TlFeSb2
_space_group_name_H-M_alt 'I -4 2 d'
_space_group_IT_number 122
_space_group_name_Hall 'I -4 2bw'
_cell_length_a 6.405
_cell_length_b 6.405
_cell_length_c 12.147
_cell_angle_alpha 90.00
_cell_angle_beta 90.00
_cell_angle_gamma 90.00
loop_
_atom_site_label
_atom_site_type_symbol
_atom_site_fract_x
_atom_site_fract_y
_atom_site_fract_z
Tl1 Tl 0.000 0.000 0.000
Fe1 Fe 0.000 0.000 0.500
Sb1 Sb 0.150 0.250 0.625
# Calculated volume: 498.3 Å³/cell
# Magnetization: 0.00 μB per formula unit
# Formation energy without anion corrections: 0.357 eV per atom
# N(E_F): 4.97 states/eV/f.u.
# Total energy: -17.6 eV per formula unit

=====

# TlFe2Sb, relaxed, DFT GGA-PBE
data_TlFe2Sb
_space_group_name_H-M_alt 'I -4 2 d'
_space_group_IT_number 122
_space_group_name_Hall 'I -4 2bw'
_cell_length_a 7.322
_cell_length_b 7.322
_cell_length_c 6.113
_cell_angle_alpha 90.00
_cell_angle_beta 90.00
_cell_angle_gamma 90.00
loop_
_atom_site_label
_atom_site_type_symbol
_atom_site_fract_x
_atom_site_fract_y
_atom_site_fract_z
Tl1 Tl 0.000 0.000 0.000
Fe1 Fe 0.234 0.750 0.625
Sb1 Sb 0.000 0.000 0.500
# Calculated volume: 327.7 Å³/cell
# Magnetization: 5.59 μB per formula unit
# Formation energy without anion corrections: 0.736 eV per atom
# N(E_F): 5.46 states/eV/f.u.
# Total energy: -20.5 eV per formula unit

=====

# TlFe2Sb, relaxed, DFT GGA-PBE
data_TlFe2Sb
_space_group_name_H-M_alt 'P 4/m m m'
_space_group_IT_number 123
_space_group_name_Hall '-P 4 2'
_cell_length_a 3.386
_cell_length_b 3.386
_cell_length_c 6.501
_cell_angle_alpha 90.00
_cell_angle_beta 90.00
_cell_angle_gamma 90.00
loop_
_atom_site_label
_atom_site_type_symbol
_atom_site_fract_x
_atom_site_fract_y
_atom_site_fract_z
Tl1 Tl 0.000 0.000 0.000
Fe1 Fe 0.500 0.500 0.308
Sb1 Sb 0.000 0.000 0.500
# Calculated volume: 74.5 Å³/cell
# Magnetization: 4.64 μB per formula unit
# Formation energy without anion corrections: 0.506 eV per atom
# N(E_F): 3.83 states/eV/f.u.
# Total energy: -21.4 eV per formula unit

=====

# TlFeSb, relaxed, DFT GGA-PBE
data_TlFeSb
_space_group_name_H-M_alt 'P 3 m 1'
_space_group_IT_number 156
_space_group_name_Hall 'P 3 -2"'
_cell_length_a 3.4336
_cell_length_b 3.4336
_cell_length_c 6.4937
_cell_angle_alpha 90.00
_cell_angle_beta 90.00
_cell_angle_gamma 120.00
loop_
_atom_site_label
_atom_site_type_symbol
_atom_site_fract_x
_atom_site_fract_y
_atom_site_fract_z
Tl1 Tl 0.0000 0.0000 0.0000
Fe1 Fe 0.6667 0.3333 0.3105
Sb1 Sb 0.3333 0.6667 0.5671
# Calculated volume: 66.3 Å³/cell
# Magnetization: 1.89 μB per formula unit
# Formation energy without anion corrections: 0.342 eV per atom
# N(E_F): 2.17 states/eV/f.u.
# Total energy: -13.9 eV per formula unit

=====

# TlFe2Sb, relaxed, DFT GGA-PBE
data_TlFe2Sb
_space_group_name_H-M_alt 'F -4 3 m'
_space_group_IT_number 216
_space_group_name_Hall 'F -4 2 3'
_cell_length_a 6.757
_cell_length_b 6.757
_cell_length_c 6.757
_cell_angle_alpha 90.00
_cell_angle_beta 90.00
_cell_angle_gamma 90.00
loop_
_atom_site_label
_atom_site_type_symbol
_atom_site_fract_x
_atom_site_fract_y
_atom_site_fract_z
Tl1 Tl 0.000 0.000 0.000
Fe1 Fe 0.000 0.000 0.500
Fe2 Fe 0.250 0.250 0.250
Sb1 Sb 0.250 0.250 0.750
# Calculated volume: 308.6 Å³/cell
# Magnetization: 5.30 μB per formula unit
# Formation energy without anion corrections: 0.770 eV per atom
# N(E_F): 3.70 states/eV/f.u.
# Total energy: -20.3 eV per formula unit

=====

# TlFe4Sb, relaxed, DFT GGA-PBE
data_TlFe4Sb
_space_group_name_H-M_alt 'F -4 3 m'
_space_group_IT_number 216
_space_group_name_Hall 'F -4 2 3'
_cell_length_a 7.216
_cell_length_b 7.216
_cell_length_c 7.216
_cell_angle_alpha 90.00
_cell_angle_beta 90.00
_cell_angle_gamma 90.00
loop_
_atom_site_label
_atom_site_type_symbol
_atom_site_fract_x
_atom_site_fract_y
_atom_site_fract_z
Tl1 Tl 0.000 0.000 0.000
Fe1 Fe 0.125 0.125 0.625
Sb1 Sb 0.250 0.250 0.250
# Calculated volume: 375.7 Å³/cell
# Magnetization: 10.23 μB per formula unit
# Formation energy without anion corrections: 0.347 eV per atom
# N(E_F): 4.59 states/eV/f.u.
# Total energy: -38.3 eV per formula unit

=====

# TlFeSb, relaxed, DFT GGA-PBE
data_TlFeSb
_space_group_name_H-M_alt 'P -6 m 2'
_space_group_IT_number 187
_space_group_name_Hall 'P -6 2'
_cell_length_a 4.4562
_cell_length_b 4.4562
_cell_length_c 4.3592
_cell_angle_alpha 90.00
_cell_angle_beta 90.00
_cell_angle_gamma 120.00
loop_
_atom_site_label
_atom_site_type_symbol
_atom_site_fract_x
_atom_site_fract_y
_atom_site_fract_z
Tl1 Tl 0.0000 0.0000 0.0000
Fe1 Fe 0.3333 0.6667 0.5000
Sb1 Sb 0.6667 0.3333 0.5000
# Calculated volume: 75.0 Å³/cell
# Magnetization: 2.79 μB per formula unit
# Formation energy without anion corrections: 0.436 eV per atom
# N(E_F): 2.86 states/eV/f.u.
# Total energy: -13.6 eV per formula unit

=====

# TlFeSb2, relaxed, DFT GGA-PBE
data_TlFeSb2
_space_group_name_H-M_alt 'C 1 2/m 1'
_space_group_IT_number 12
_space_group_name_Hall '-C 2y'
_cell_length_a 7.667
_cell_length_b 3.398
_cell_length_c 7.890
_cell_angle_alpha 90.00
_cell_angle_beta 99.66
_cell_angle_gamma 90.00
loop_
_atom_site_label
_atom_site_type_symbol
_atom_site_fract_x
_atom_site_fract_y
_atom_site_fract_z
Tl1 Tl 0.000 0.000 0.000
Fe1 Fe 0.000 0.500 0.500
Sb1 Sb 0.225 0.000 0.667
# Calculated volume: 202.7 Å³/cell
# Magnetization: 1.76 μB per formula unit
# Formation energy without anion corrections: 0.137 eV per atom
# N(E_F): 4.23 states/eV/f.u.
# Total energy: -18.5 eV per formula unit

=====

# TlFeSb2, relaxed, DFT GGA-PBE
data_TlFeSb2
_space_group_name_H-M_alt 'P 4/m m m'
_space_group_IT_number 123
_space_group_name_Hall '-P 4 2'
_cell_length_a 4.463
_cell_length_b 4.463
_cell_length_c 4.958
_cell_angle_alpha 90.00
_cell_angle_beta 90.00
_cell_angle_gamma 90.00
loop_
_atom_site_label
_atom_site_type_symbol
_atom_site_fract_x
_atom_site_fract_y
_atom_site_fract_z
Tl1 Tl 0.000 0.000 0.000
Fe1 Fe 0.500 0.500 0.000
Sb1 Sb 0.000 0.500 0.500
# Calculated volume: 98.7 Å³/cell
# Magnetization: 3.13 μB per formula unit
# Formation energy without anion corrections: 0.590 eV per atom
# N(E_F): 4.92 states/eV/f.u.
# Total energy: -16.7 eV per formula unit

=====

# TlFeSb2, relaxed, DFT GGA-PBE
data_TlFeSb2
_space_group_name_H-M_alt 'R 3 m'
_space_group_IT_number 160
_space_group_name_Hall 'R 3 -2"'
_cell_length_a 3.4151
_cell_length_b 3.4151
_cell_length_c 28.0716
_cell_angle_alpha 90.00
_cell_angle_beta 90.00
_cell_angle_gamma 120.00
loop_
_atom_site_label
_atom_site_type_symbol
_atom_site_fract_x
_atom_site_fract_y
_atom_site_fract_z
Tl1 Tl 0.0000 0.0000 0.0000
Fe1 Fe 0.0000 0.0000 0.2594
Sb1 Sb 0.0000 0.0000 0.5335
Sb2 Sb 0.0000 0.0000 0.7677
# Calculated volume: 283.5 Å³/cell
# Magnetization: 2.00 μB per formula unit
# Formation energy without anion corrections: 0.364 eV per atom
# N(E_F): 3.47 states/eV/f.u.
# Total energy: -17.6 eV per formula unit